# PrZn4Ag8 PBE-GGA optimized geometry
# E, eV per cell: -69.01
# Size of the total moment, μB per atom: 0.000
data_PrZn4Ag8
_symmetry_space_group_name_H-M 'I 4/m m m'
_symmetry_Int_Tables_number 139
_symmetry_space_group_name_Hall '-I 4 2'
_cell_length_a 9.445
_cell_length_b 9.445
_cell_length_c 5.305
_cell_angle_alpha 90.00
_cell_angle_beta 90.00
_cell_angle_gamma 90.00
loop_
_atom_site_label
_atom_site_fract_x
_atom_site_fract_y
_atom_site_fract_z
_atom_site_occupancy
Pr1 0.000 0.000 0.000 1
Zn1 0.250 0.250 0.250 1
Ag1 0.000 0.218 0.500 1
Ag2 0.000 0.348 0.000 1